DFT (GGA-PBE) results for TaSi2 after structural relaxation.

The structure in POSCAR format:
```
TaSi2
1.0
1.677 4.551 0.005
-1.677 4.551 0.005
0.000 2.383 6.168
Si Ta
4 2
Cartesian
0.000 3.274 0.218
0.000 9.594 1.983
0.000 1.892 4.196
0.000 8.211 5.960
0.000 7.030 2.186
0.000 4.456 3.993
```

Values from the calculation:
Crystal system: monoclinic
Uncorrected formation energy in eV per formula unit: -0.86
DOS(E_F) in states/eV per cell: 1.07
Size of the total moment in μB/cell: 0.0
Space group: No. 12